(1)
{"formula": "CdAuI", "functional": "PBE", "state": "relaxed", "lattice_angstrom": [[-1.571, -3.668, -0.101], [0.356, -0.262, 4.054], [-10.060, 6.416, 0.014]], "species": ["Cd", "Au", "I", "Au", "I", "Cd"], "fractional_positions": [[0.088, 0.615, 0.683], [0.000, 0.000, 0.500], [0.826, 0.818, 0.147], [0.500, 0.500, 0.500], [0.174, 0.182, 0.853], [0.912, 0.385, 0.317]], "dos_ef_per_ev_cell": 1.2, "raw_formation_energy_ev_per_atom": -0.212}



(2)
{"formula": "RbIrCl6", "functional": "PBE", "state": "relaxed", "lattice_angstrom": [[-3.863, 3.807, -3.291], [-2.819, -5.618, -0.857], [-4.965, 0.475, 3.970]], "species": ["Cl", "Cl", "Cl", "Cl", "Cl", "Ir", "Cl", "Rb"], "fractional_positions": [[0.268, 0.268, 0.064], [0.732, 0.066, 0.267], [0.732, 0.732, 0.936], [0.934, 0.268, 0.733], [0.066, 0.732, 0.267], [0.000, 0.000, 0.000], [0.268, 0.934, 0.733], [0.500, 0.500, 0.500]], "dos_ef_per_ev_cell": 6.1, "raw_formation_energy_ev_per_atom": -0.763}



(3)
{"formula": "Mg2GeSe", "functional": "PBE", "state": "relaxed", "lattice_angstrom": [[0.000, 3.426, 3.426], [3.426, 0.000, 3.426], [3.426, 3.426, 0.000]], "species": ["Mg", "Mg", "Se", "Ge"], "fractional_positions": [[0.750, 0.750, 0.750], [0.250, 0.250, 0.250], [0.500, 0.500, 0.500], [0.000, 0.000, 0.000]], "dos_ef_per_ev_cell": 3.0, "raw_formation_energy_ev_per_atom": -0.170}



(4)
{"formula": "TbMg3Cu3", "functional": "PBE", "state": "relaxed", "lattice_angstrom": [[6.857, 0.000, 0.000], [0.000, 6.857, 0.000], [0.000, 0.000, 6.857]], "species": ["Cu", "Mg", "Cu", "Cu", "Mg", "Tb", "Mg", "Cu", "Cu", "Tb", "Mg", "Mg", "Mg", "Cu"], "fractional_positions": [[0.500, 0.000, 0.750], [0.250, 0.000, 0.500], [0.000, 0.250, 0.500], [0.000, 0.750, 0.500], [0.000, 0.500, 0.250], [0.500, 0.500, 0.500], [0.000, 0.500, 0.750], [0.500, 0.000, 0.250], [0.250, 0.500, 0.000], [0.000, 0.000, 0.000], [0.500, 0.250, 0.000], [0.750, 0.000, 0.500], [0.500, 0.750, 0.000], [0.750, 0.500, 0.000]], "formation_enthalpy_0k_ev_per_fu": 3.1, "dos_ef_per_ev_cell": 10.2}



(5)
{"formula": "Ho2TmPa", "functional": "PBE", "state": "relaxed", "lattice_angstrom": [[-1.925, 2.904, -0.292], [0.258, -0.405, -5.730], [-4.793, -3.177, 0.009]], "species": ["Pa", "Ho", "Ho", "Tm"], "fractional_positions": [[0.500, 0.500, 0.500], [0.000, 0.500, 0.000], [0.000, 0.000, 0.500], [0.500, 0.000, 0.000]], "formation_enthalpy_0k_ev_per_fu": 1.2, "dos_ef_per_ev_cell": 7.6}



(6)
{"formula": "Li2Mg2Au3", "functional": "PBE", "state": "relaxed", "lattice_angstrom": [[-0.757, 0.324, 4.543], [3.321, -2.815, -1.624], [4.041, 6.020, -2.089]], "species": ["Mg", "Li", "Au", "Li", "Au", "Mg", "Au"], "fractional_positions": [[0.222, 0.611, 0.834], [0.736, 0.866, 0.609], [0.505, 0.251, 0.764], [0.264, 0.134, 0.391], [0.000, 0.000, 0.000], [0.778, 0.389, 0.166], [0.495, 0.749, 0.236]], "formation_enthalpy_0k_ev_per_fu": -3.5, "dos_ef_per_ev_cell": 2.4}



(7)
{"formula": "Pr3Dy8Ho2", "functional": "PBE", "state": "relaxed", "lattice_angstrom": [[5.613, 0.000, 0.759], [0.000, 7.738, 0.000], [-1.351, -3.869, 9.953]], "species": ["Dy", "Dy", "Dy", "Dy", "Pr", "Pr", "Ho", "Dy", "Dy", "Ho", "Dy", "Dy", "Pr"], "fractional_positions": [[0.001, 0.673, 0.346], [0.500, 0.818, 0.219], [0.500, 0.599, 0.781], [0.000, 0.864, 0.728], [0.000, 0.293, 0.000], [0.500, 0.000, 0.000], [0.501, 0.759, 0.517], [0.000, 0.136, 0.272], [0.999, 0.327, 0.654], [0.499, 0.241, 0.483], [0.500, 0.401, 0.219], [0.500, 0.182, 0.781], [0.000, 0.707, 0.000]], "formation_enthalpy_0k_ev_per_fu": 3.2, "dos_ef_per_ev_cell": 21.3}



(8)
{"formula": "Zn2MoCl", "functional": "PBE", "state": "relaxed", "lattice_angstrom": [[6.590, 0.113, 0.000], [4.580, 4.739, 0.000], [-5.176, -3.367, 2.304]], "species": ["Cl", "Zn", "Mo", "Zn"], "fractional_positions": [[0.750, 0.250, 0.500], [0.046, 0.046, 0.000], [0.250, 0.750, 0.500], [0.454, 0.454, 0.000]], "dos_ef_per_ev_cell": 3.1, "raw_formation_energy_ev_per_atom": 0.380}



(9)
{"formula": "KMnPb2I8", "functional": "PBE", "state": "relaxed", "lattice_angstrom": [[-6.190, -1.683, -4.410], [3.877, -3.392, -4.968], [-1.132, -8.221, 4.729]], "species": ["I", "I", "I", "I", "I", "Pb", "I", "K", "I", "Pb", "I", "Mn"], "fractional_positions": [[0.672, 0.698, 0.500], [0.330, 0.236, 0.000], [0.670, 0.764, 0.000], [0.138, 0.770, 0.199], [0.328, 0.302, 0.500], [0.500, 0.500, 0.232], [0.862, 0.229, 0.199], [0.000, 0.000, 0.500], [0.138, 0.771, 0.801], [0.500, 0.500, 0.768], [0.862, 0.230, 0.801], [0.000, 0.000, 0.000]], "dos_ef_per_ev_cell": 1.9, "raw_formation_energy_ev_per_atom": -0.611}



(10)
{"formula": "CeSm5In4", "functional": "PBE", "state": "relaxed", "lattice_angstrom": [[8.677, 0.000, 0.000], [0.000, 8.339, 0.000], [0.000, 0.000, 9.233]], "species": ["Ce", "Sm", "In", "In", "Ce", "Sm", "Sm", "Sm", "In", "Sm", "Sm", "Sm", "Sm", "In", "In", "In", "Sm", "In", "In", "Sm"], "fractional_positions": [[0.660, 0.000, 0.000], [0.080, 0.000, 0.500], [0.998, 0.000, 0.842], [0.562, 0.338, 0.000], [0.340, 0.500, 0.500], [0.268, 0.263, 0.803], [0.732, 0.763, 0.303], [0.732, 0.237, 0.697], [0.438, 0.838, 0.500], [0.732, 0.237, 0.303], [0.268, 0.737, 0.197], [0.268, 0.263, 0.197], [0.268, 0.737, 0.803], [0.998, 0.000, 0.158], [0.002, 0.500, 0.342], [0.562, 0.662, 0.000], [0.920, 0.500, 0.000], [0.002, 0.500, 0.658], [0.438, 0.162, 0.500], [0.732, 0.763, 0.697]], "formation_enthalpy_0k_ev_per_fu": -0.8, "dos_ef_per_ev_cell": 28.0}



(11)
{"formula": "LiTc3I", "functional": "PBE", "state": "relaxed", "lattice_angstrom": [[-3.972, 0.059, -2.794], [0.347, -4.808, -0.595], [-2.773, -0.686, 3.928]], "species": ["Tc", "Tc", "Tc", "Li", "I"], "fractional_positions": [[0.000, 0.500, 0.000], [0.000, 0.000, 0.500], [0.500, 0.000, 0.000], [0.500, 0.500, 0.500], [0.000, 0.000, 0.000]], "dos_ef_per_ev_cell": 4.0, "raw_formation_energy_ev_per_atom": 1.876}



(12)
{"formula": "HfScGaRe", "functional": "PBE", "state": "relaxed", "lattice_angstrom": [[-3.303, 3.014, 1.318], [-4.216, -0.149, -1.982], [-3.675, -1.493, 2.448]], "species": ["Re", "Sc", "Hf", "Ga"], "fractional_positions": [[0.750, 0.750, 0.750], [0.500, 0.500, 0.500], [0.000, 0.000, 0.000], [0.250, 0.250, 0.250]], "formation_enthalpy_0k_ev_per_fu": -1.4, "dos_ef_per_ev_cell": 1.8}